[1]
First-principles (GGA-PBE) data for a geometry-optimized RbVS3 structure, as listed in the Alexandria database.

Results
Density (g/cm³): 3.03
Size of the total moment (μB/atom): 0.01
Formation energy (no corrections) (eV/atom): -0.835
N(E_F) (states/eV per cell): 2.6
Crystal system: trigonal

The structure in POSCAR format:
```
RbVS3
1.0
3.240 1.871 7.019
-3.240 1.871 7.019
0.000 -3.741 7.019
Rb V S
2 2 6
direct
0.119 0.119 0.119 Rb
0.881 0.881 0.881 Rb
0.319 0.319 0.319 V
0.681 0.681 0.681 V
0.079 0.563 0.563 S
0.437 0.437 0.921 S
0.437 0.921 0.437 S
0.563 0.079 0.563 S
0.563 0.563 0.079 S
0.921 0.437 0.437 S
```

[2]
First-principles (GGA-PBE) data for a geometry-optimized RbVS3 structure, as listed in the Alexandria database.

Results
Density (g/cm³): 3.66
Size of the total moment (μB/atom): 0.03
Formation energy (no corrections) (eV/atom): -0.674
N(E_F) (states/eV per cell): 4.7
Crystal system: cubic

The structure in POSCAR format:
```
RbVS3
1.0
4.726 0.000 0.000
0.000 4.726 0.000
0.000 0.000 4.726
Rb V S
1 1 3
direct
0.000 0.000 0.000 Rb
0.500 0.500 0.500 V
0.000 0.500 0.500 S
0.500 0.000 0.500 S
0.500 0.500 0.000 S
```

[3]
First-principles (GGA-PBE) data for a geometry-optimized Rb3VS4 structure, as listed in the Alexandria database.

Results
Density (g/cm³): 2.65
Size of the total moment (μB/atom): 0.00
Formation energy (no corrections) (eV/atom): -1.088
Crystal system: orthorhombic

The structure in POSCAR format:
```
Rb3VS4
1.0
-3.530 5.044 3.833
3.530 -5.044 3.833
3.530 5.044 -3.833
Rb V S
3 1 4
direct
0.000 0.000 0.000 Rb
0.328 0.568 0.761 Rb
0.807 0.568 0.239 Rb
0.500 0.000 0.500 V
0.335 0.080 0.745 S
0.335 0.590 0.255 S
0.479 0.158 0.321 S
0.837 0.158 0.679 S
```